First-principles (PBE) data for a relaxed La8Ge3IrBr4 crystal, as listed in the Alexandria database. Values from VASP.

Structure (Quantum ESPRESSO input):
```
&SYSTEM
  ibrav = 0, nat = 16, ntyp = 4
/
ATOMIC_SPECIES
Ge 72.64 Ge.upf
La 138.91 La.upf
Br 79.90 Br.upf
Ir 192.22 Ir.upf
CELL_PARAMETERS angstrom
8.782 0.000 0.000
0.000 8.925 0.072
-4.391 -4.404 6.241
ATOMIC_POSITIONS angstrom
Ge 4.391 4.463 0.036
La -2.294 2.023 6.175
Br 0.000 0.000 0.000
La 4.391 0.200 3.324
La 0.000 0.185 3.251
Ir 0.000 4.463 0.036
Br 2.195 -2.202 3.121
La 4.391 4.336 3.063
La 2.294 2.023 6.175
Ge 2.195 2.261 3.157
Br -2.195 -2.202 3.121
La 2.097 2.498 0.139
La 0.000 4.321 2.990
Ge -2.195 2.261 3.157
Br 4.391 0.000 0.000
La 6.685 2.498 0.139
```

Computed properties:
- V: 30.75 A^3/atom
- Formation energy (no corrections): -1.202 eV/atom

First-principles (PBE) data for a relaxed Gd2CuO crystal, as listed in the Alexandria database. Values from VASP.

Structure (Quantum ESPRESSO input):
```
&SYSTEM
  ibrav = 0, nat = 4, ntyp = 3
/
ATOMIC_SPECIES
Gd 157.25 Gd.upf
O 16.00 O.upf
Cu 63.55 Cu.upf
CELL_PARAMETERS angstrom
3.662 0.000 0.000
1.831 3.172 0.000
1.831 1.057 6.621
ATOMIC_POSITIONS angstrom
Gd 1.831 1.057 1.369
Gd 5.493 3.172 5.252
O 0.000 0.000 0.000
Cu 3.662 2.114 3.310
```

Computed properties:
- V: 19.23 A^3/atom
- Formation energy (no corrections): -1.333 eV/atom

- Which value of formation energy (no corrections) does entry 2 give?
  -1.333 eV/atom